Record 1
! Tb2PmEr2Sc2, optimized geometry, DFT GGA-PBE; values from VASP
&SYSTEM
  ibrav = 0, nat = 7, ntyp = 4
/
ATOMIC_SPECIES
Tb 158.93 Tb.upf
Pm 145.00 Pm.upf
Er 167.26 Er.upf
Sc 44.96 Sc.upf
CELL_PARAMETERS angstrom
5.9489 -2.7682 0.0000
5.9489 2.7682 0.0000
-0.5706 0.0000 6.3714
ATOMIC_POSITIONS angstrom
Tb 0.4853 0.0000 1.7316
Tb 10.8420 0.0000 4.6398
Pm 5.9489 0.0000 0.0000
Er 3.8138 0.0000 2.7642
Er 7.5135 0.0000 3.6072
Sc 2.1008 0.0000 5.6550
Sc 9.2265 0.0000 0.7164
! Size of the total moment = 0.0 μB per formula unit
! Symmetry = No. 12
! DOS at the Fermi energy = 14.27 states/eV per cell
! E = -4.978 eV per atom
! Calculated formation energy = 0.14 eV per atom



Record 2
! NdTc2PC, optimized geometry, DFT GGA-PBE; values from VASP
&SYSTEM
  ibrav = 0, nat = 10, ntyp = 4
/
ATOMIC_SPECIES
Nd 144.24 Nd.upf
Tc 98.00 Tc.upf
P 30.97 P.upf
C 12.01 C.upf
CELL_PARAMETERS angstrom
1.9855 -5.4884 0.0000
1.9855 5.4884 0.0000
0.0000 0.0000 7.2073
ATOMIC_POSITIONS angstrom
Nd 1.9855 5.0136 5.4055
Nd 1.9855 -5.0136 1.8018
Tc 1.9855 1.8886 4.0388
Tc 1.9855 1.8886 6.7721
Tc 1.9855 -1.8886 0.4351
Tc 1.9855 -1.8886 3.1685
P 1.9855 2.9358 1.8018
P 1.9855 -2.9358 5.4055
C 1.9855 0.0000 0.0000
C 1.9855 0.0000 3.6036
! Size of the total moment = 0.0 μB per formula unit
! Symmetry = No. 63
! DOS at the Fermi energy = 6.03 states/eV per cell
! E = -8.624 eV per atom
! Calculated formation energy = -0.60 eV per atom



Record 3
! Tb4Tl3Ga, optimized geometry, DFT GGA-PBE; values from VASP
&SYSTEM
  ibrav = 0, nat = 8, ntyp = 3
/
ATOMIC_SPECIES
Tb 158.93 Tb.upf
Tl 204.38 Tl.upf
Ga 69.72 Ga.upf
CELL_PARAMETERS angstrom
4.3165 0.0000 0.0000
0.0000 4.5306 0.0000
0.0000 0.0000 11.4393
ATOMIC_POSITIONS angstrom
Tb 0.0000 0.0000 0.0000
Tb 0.0000 2.2653 5.5048
Tb 2.1583 0.0000 8.1830
Tb 2.1583 2.2653 2.5083
Tl 0.0000 2.2653 8.6689
Tl 2.1583 0.0000 4.9786
Tl 2.1583 2.2653 10.8170
Ga 0.0000 0.0000 3.0492
! Energy above the lowest structure with this stoichiometry = 0.033 eV per atom
! Size of the total moment = 0.0 μB per formula unit
! Symmetry = No. 25
! DOS at the Fermi energy = 7.31 states/eV per cell
! E = -3.959 eV per atom
! Calculated formation energy = -0.38 eV per atom